5
Lattice="3.841 0.000 0.000 0.000 3.841 0.000 0.000 0.000 3.915" Properties=species:S:1:pos:R:3 comment="PBE+U VSeNO2, optimized geometry" rho_g_cm3=5.06 dft_energy_ev_per_atom=-5.4334 crystal_system=tetragonal pbc="T T T"
O 1.920 0.000 0.000
O 0.000 1.920 0.000
V 1.920 1.920 1.957
Se 0.000 0.000 0.000
N 0.000 0.000 1.957